A crystal of Mg2CrSi relaxed with PBEsol. Source: the Alexandria database, functional meta-GGA SCAN.

Properties
Formation energy (no corrections) in meV/atom: 132

The structure in CIF format:
```
data_Mg2CrSi
_chemical_formula_sum 'Mg2 Cr1 Si1'
_cell_length_a 5.106
_cell_length_b 5.106
_cell_length_c 5.106
_cell_angle_alpha 141.01
_cell_angle_beta 129.91
_cell_angle_gamma 65.24
_space_group_name_H-M_alt 'P 1'
_space_group_IT_number 1
loop_
_space_group_symop_operation_xyz
'x,y,z'
loop_
_atom_site_label
_atom_site_fract_x
_atom_site_fract_y
_atom_site_fract_z
Mg1 0.000 0.000 0.000
Mg2 0.724 0.224 0.500
Cr1 0.457 0.457 0.000
Si1 0.262 0.762 0.500
```